[1]
! YMnCo2C, relaxed, DFT PBE-GGA; values from VASP
! Energy relative to the elements (eV per atom): -0.0627
! Uncorrected energy (eV per atom): -7.8765
! Symmetry: P4/mmm, No. 123
&SYSTEM
  ibrav = 0, nat = 5, ntyp = 4
/
ATOMIC_SPECIES
Y 88.91 Y.upf
Co 58.93 Co.upf
Mn 54.94 Mn.upf
C 12.01 C.upf
CELL_PARAMETERS angstrom
-1.0622 0.7592 -3.7272
1.5825 -3.4308 -1.1499
-3.4560 -1.8012 0.6180
ATOMIC_POSITIONS angstrom
Y -1.4679 -2.2364 -2.1295
Co -0.5311 0.3796 -1.8636
Co 0.7912 -1.7154 -0.5749
Mn -1.7280 -0.9006 0.3090
C 0.0000 0.0000 0.0000

[2]
! ZrCu3Ge2, relaxed, DFT PBE-GGA; values from VASP
! Energy relative to the elements (eV per atom): -0.2540
! Uncorrected energy (eV per atom): -5.2659
! Symmetry: C2/m, No. 12
&SYSTEM
  ibrav = 0, nat = 12, ntyp = 3
/
ATOMIC_SPECIES
Ge 72.64 Ge.upf
Cu 63.55 Cu.upf
Zr 91.22 Zr.upf
CELL_PARAMETERS angstrom
-3.3278 1.9126 0.6190
0.4889 -4.9572 5.7355
3.6713 6.1235 0.8172
ATOMIC_POSITIONS angstrom
Ge 2.2020 2.8222 3.1184
Ge -1.0448 1.8986 0.7266
Ge -1.3697 0.2566 4.0533
Ge 1.8771 1.1802 6.4451
Cu 1.2210 0.7798 4.1548
Cu 0.6453 4.3947 2.1004
Cu 1.3375 2.0292 0.9206
Cu 0.1870 -1.3158 5.0713
Cu -0.5051 1.0496 6.2510
Cu -0.3886 2.2990 3.0168
Zr -0.1037 -0.7444 1.7424
Zr 0.9361 3.8233 5.4293